Entry 1:
Here is an optimized crystal structure of TbPr4Sm2Dy from Alexandria. Energies are from PBE.

Values from the calculation:
Calculated total energy: -4.71 eV/atom
Total magnetic moment: 0.00 Bohr magnetons per cell
D(E_F): 10.84 states/eV/cell
Energy relative to the elements: 0.11 eV per formula unit

a = 5.1717 Å, b = 5.2010 Å, c = 10.2358 Å
α = 90.00°, β = 90.12°, γ = 90.00°
Space group P2/m (No. 10)
Asymmetric unit:
Tb  0.0000  0.0000  0.0000
Pr  0.0003  0.5000  0.2506
Pr  0.4999  0.0000  0.2500
Sm  0.0000  0.0000  0.5000
Sm  0.5000  0.5000  0.0000
Dy  0.5000  0.5000  0.5000


Entry 2:
Here is an optimized crystal structure of TbPr5SmDy2 from Alexandria. Energies are from PBE.

Values from the calculation:
Calculated total energy: -4.58 eV/atom
Total magnetic moment: 0.00 Bohr magnetons per cell
D(E_F): 56.41 states/eV/cell
Energy relative to the elements: 1.27 eV per formula unit

a = 5.7067 Å, b = 20.6073 Å, c = 10.7800 Å
α = 90.00°, β = 90.00°, γ = 90.00°
Space group Cmc2_1 (No. 36)
Asymmetric unit:
Tb  0.0000  0.0910  0.0000
Pr  0.0000  0.0191  0.2843
Pr  0.0000  0.1118  0.5647
Pr  0.0000  0.2045  0.2443
Pr  0.0000  0.2196  0.8516
Pr  0.0000  0.4842  0.5603
Sm  0.0000  0.3002  0.5501
Dy  0.0000  0.3837  0.8547
Dy  0.0000  0.3885  0.2787


Entry 3:
Here is an optimized crystal structure of Tb2Pr4Sm2Dy from Alexandria. Energies are from PBE.

Values from the calculation:
Calculated total energy: -4.69 eV/atom
Total magnetic moment: 0.00 Bohr magnetons per cell
D(E_F): 28.56 states/eV/cell
Energy relative to the elements: 0.17 eV per formula unit

a = 15.4783 Å, b = 5.1601 Å, c = 8.1243 Å
α = 90.00°, β = 108.57°, γ = 90.00°
Space group C2/m (No. 12)
Asymmetric unit:
Tb  0.1668  0.0000  0.9998
Pr  0.0544  0.0000  0.3307
Pr  0.2222  0.5000  0.3306
Sm  0.1115  0.5000  0.6702
Dy  0.0000  0.5000  0.0000


Entry 4:
Here is an optimized crystal structure of TbPr3Sm6Dy2 from Alexandria. Energies are from PBE.

Values from the calculation:
Calculated total energy: -4.69 eV/atom
Total magnetic moment: 0.00 Bohr magnetons per cell
D(E_F): 34.16 states/eV/cell
Energy relative to the elements: 0.20 eV per formula unit

a = 6.2922 Å, b = 10.8999 Å, c = 12.0338 Å
α = 90.00°, β = 100.05°, γ = 90.00°
Space group C2/m (No. 12)
Asymmetric unit:
Tb  0.0000  0.0000  0.0000
Pr  0.0000  0.1667  0.5000
Pr  0.0000  0.5000  0.5000
Sm  0.2488  0.1667  0.2453
Sm  0.2486  0.5000  0.2453
Dy  0.0000  0.3333  0.0000


Entry 5:
Here is an optimized crystal structure of TbPr2SmDy5 from Alexandria. Energies are from PBE.

Values from the calculation:
Calculated total energy: -4.39 eV/atom
Total magnetic moment: 0.00 Bohr magnetons per cell
D(E_F): 43.20 states/eV/cell
Energy relative to the elements: 2.37 eV per formula unit

a = 8.6895 Å, b = 8.6895 Å, c = 15.7509 Å
α = 90.00°, β = 90.00°, γ = 90.00°
Space group I4/mcm (No. 140)
Asymmetric unit:
Tb  0.0000  0.5000  0.2500
Pr  0.1184  0.3816  0.0000
Sm  0.0000  0.0000  0.2500
Dy  0.0000  0.0000  0.0000
Dy  0.2115  0.2885  0.3601


Entry 6:
Here is an optimized crystal structure of Tb3Pr2SmDy6 from Alexandria. Energies are from PBE.

Values from the calculation:
Calculated total energy: -4.63 eV/atom
Total magnetic moment: 0.00 Bohr magnetons per cell
D(E_F): 30.32 states/eV/cell
Energy relative to the elements: 0.19 eV per formula unit

a = 6.2111 Å, b = 10.7523 Å, c = 11.8432 Å
α = 90.00°, β = 100.03°, γ = 90.00°
Space group C2/m (No. 12)
Asymmetric unit:
Tb  0.0000  0.0000  0.0000
Tb  0.0000  0.3333  0.0000
Pr  0.0000  0.1665  0.5000
Sm  0.0000  0.5000  0.5000
Dy  0.2479  0.5000  0.2466
Dy  0.2486  0.1665  0.2468


Entry 7:
Here is an optimized crystal structure of Tb3Pr6SmDy2 from Alexandria. Energies are from PBE.

Values from the calculation:
Calculated total energy: -4.70 eV/atom
Total magnetic moment: 0.00 Bohr magnetons per cell
D(E_F): 28.54 states/eV/cell
Energy relative to the elements: 0.13 eV per formula unit

a = 6.3259 Å, b = 10.9580 Å, c = 11.9548 Å
α = 90.00°, β = 100.13°, γ = 90.00°
Space group C2/m (No. 12)
Asymmetric unit:
Tb  0.0000  0.0000  0.0000
Tb  0.0000  0.3332  0.0000
Pr  0.2493  0.1669  0.2497
Pr  0.2501  0.0000  0.7503
Sm  0.0000  0.5000  0.5000
Dy  0.0000  0.1665  0.5000


Entry 8:
Here is an optimized crystal structure of Tb2PrSm2Dy from Alexandria. Energies are from PBE.

Values from the calculation:
Calculated total energy: -4.42 eV/atom
Total magnetic moment: 0.00 Bohr magnetons per cell
D(E_F): 19.52 states/eV/cell
Energy relative to the elements: 1.57 eV per formula unit

a = 6.6656 Å, b = 17.8292 Å, c = 3.4159 Å
α = 90.00°, β = 90.00°, γ = 90.00°
Space group Pnnm (No. 58)
Asymmetric unit:
Tb  0.2296  0.1811  0.0000
Pr  0.0000  0.0000  0.0000
Sm  0.2249  0.3493  0.5000
Dy  0.0000  0.5000  0.0000